The following is a DFT calculation (GGA-PBE) of a geometry-optimized Sr2DyGa3Au4 structure.

```
data_Sr2DyGa3Au4
_chemical_formula_sum 'Sr2 Dy1 Ga3 Au4'
_cell_length_a 4.552
_cell_length_b 4.552
_cell_length_c 11.428
_cell_angle_alpha 90.00
_cell_angle_beta 90.00
_cell_angle_gamma 90.00
_symmetry_space_group_name_H-M 'P -4 m 2'
_symmetry_Int_Tables_number 115
loop_
_symmetry_equiv_pos_as_xyz
'x,y,z'
'y,-x,-z'
'-x,-y,z'
'-y,x,-z'
'-x,y,z'
'-y,-x,-z'
'x,-y,z'
'y,x,-z'
loop_
_atom_site_label
_atom_site_fract_x
_atom_site_fract_y
_atom_site_fract_z
_atom_site_occupancy
Sr1 0.000 0.500 0.226 1
Dy1 0.000 0.000 0.500 1
Ga1 0.000 0.500 0.882 1
Ga2 0.500 0.500 0.500 1
Au1 0.000 0.000 0.000 1
Au2 0.000 0.500 0.656 1
Au3 0.500 0.500 0.000 1
```

DOS(E_F)	0.637	states/eV per atom
V	23.7	Å³/atom
crystal system	tetragonal
energy relative to the elements	-6.34	eV/f.u.